Record 1
A plane-wave DFT calculation with PBE-GGA was carried out for YScBi2O6 after structural relaxation.

Unit cell a=5.909 b=5.910 c=6.046 alpha=60.74 beta=60.75 gamma=60.00
Fractional coordinates of all 10 atoms:
O  0.172  0.978  0.248
O  0.665  0.123  0.759
O  0.453  0.665  0.759
O  0.123  0.453  0.759
O  0.978  0.603  0.248
O  0.603  0.172  0.248
Sc  0.312  0.312  0.065
Y  0.808  0.808  0.575
Bi  0.524  0.524  0.428
Bi  0.024  0.024  0.928

Calculated volume: 151 Å³/cell
DOS at the Fermi energy: 0.00 states/eV/f.u.
Space group: No. 146
Electronic total energy: -7.3803 eV/atom

***

Record 2
A plane-wave DFT calculation with PBE-GGA was carried out for Y2ScBiO after structural relaxation.

Unit cell a=4.984 b=4.984 c=4.329 alpha=90.00 beta=90.00 gamma=90.00
Fractional coordinates of all 5 atoms:
O  0.000  0.000  0.000
Y  0.500  0.000  0.000
Y  0.000  0.500  0.000
Bi  0.500  0.500  0.500
Sc  0.000  0.000  0.500

Calculated volume: 108 Å³/cell
DOS at the Fermi energy: 4.25 states/eV/f.u.
Space group: No. 123
Electronic total energy: -6.9782 eV/atom

***

Record 3
A plane-wave DFT calculation with PBE-GGA was carried out for Y2ScBi2O2 after structural relaxation.

Unit cell a=4.154 b=4.154 c=8.876 alpha=103.53 beta=103.53 gamma=90.00
Fractional coordinates of all 7 atoms:
O  0.000  0.500  0.000
O  0.500  0.000  0.000
Y  0.605  0.605  0.211
Y  0.395  0.395  0.789
Sc  0.000  0.000  0.000
Bi  0.188  0.188  0.375
Bi  0.812  0.812  0.625

Calculated volume: 145 Å³/cell
DOS at the Fermi energy: 2.25 states/eV/f.u.
Space group: No. 139
Electronic total energy: -7.1565 eV/atom

***

Record 4
A plane-wave DFT calculation with PBE-GGA was carried out for Y2ScBiO6 after structural relaxation.

Unit cell a=5.550 b=5.392 c=5.392 alpha=90.00 beta=90.00 gamma=90.00
Fractional coordinates of all 10 atoms:
Bi  0.549  0.500  0.500
O  0.227  0.000  0.000
O  0.751  0.242  0.242
O  0.751  0.758  0.242
O  0.751  0.242  0.758
O  0.751  0.758  0.758
O  0.139  0.500  0.500
Y  0.971  0.000  0.500
Y  0.971  0.500  0.000
Sc  0.584  0.000  0.000

Calculated volume: 161 Å³/cell
DOS at the Fermi energy: 0.00 states/eV/f.u.
Space group: No. 99
Electronic total energy: -7.9335 eV/atom